Computed, not measured: HfTlO after structural relaxation at the PBE-GGA level of DFT.

```
HfTlO
1.0
3.752 0.000 0.000
0.000 3.752 0.000
0.000 0.000 7.419
Hf Tl O
2 2 2
Direct
0.250 0.250 0.149 Hf
0.750 0.750 0.851 Hf
0.250 0.250 0.608 Tl
0.750 0.750 0.392 Tl
0.250 0.750 0.000 O
0.750 0.250 0.000 O
```

The calculation puts the uncorrected formation energy at -1.54 eV/atom. The space group is No. 129.


Computed, not measured: As4Pt3 after structural relaxation at the PBE-GGA level of DFT.

```
As4Pt3
1.0
3.415 0.000 0.000
0.000 3.415 0.000
0.000 0.000 24.063
As Pt
8 6
Direct
0.000 0.000 0.053 As
0.000 0.000 0.325 As
0.000 0.000 0.675 As
0.000 0.000 0.947 As
0.500 0.500 0.175 As
0.500 0.500 0.447 As
0.500 0.500 0.553 As
0.500 0.500 0.825 As
0.000 0.000 0.216 Pt
0.000 0.000 0.500 Pt
0.000 0.000 0.784 Pt
0.500 0.500 0.000 Pt
0.500 0.500 0.284 Pt
0.500 0.500 0.716 Pt
```

For the energy above the most stable polymorph in this dataset, the calculation gives 0.0 meV per atom. For the formation energy from the elements, the calculation gives -0.047 eV per atom. The space group is No. 139.


Computed, not measured: KTe2Cl after structural relaxation at the PBE-GGA level of DFT.

```
KTe2Cl
1.0
3.983 0.000 0.000
0.000 4.695 0.000
-0.050 0.000 9.289
K Te Cl
1 2 1
Direct
0.000 0.000 0.000 K
0.505 0.000 0.379 Te
0.507 0.500 0.539 Te
0.500 0.500 0.999 Cl
```

For the energy above the most stable polymorph in this dataset, the calculation gives 69.7 meV per atom. The calculation puts the uncorrected formation energy at -0.78 eV/atom. The space group is No. 6.